Here is Nb2VH2 after structural relaxation from the Alexandria database. Energies are from PBE. Values from VASP.

Relative energy among the computed polymorphs in kJ/mol of formula units: 47
Total magnetization in μB per atom: 0.00
Symmetry: P-3m1 (164)
DOS(E_F) in states/eV per cell: 4.17

Structure (Quantum ESPRESSO input):
```
&SYSTEM
  ibrav = 0, nat = 5, ntyp = 3
/
ATOMIC_SPECIES
Nb 92.91 Nb.upf
V 50.94 V.upf
H 1.01 H.upf
CELL_PARAMETERS angstrom
3.0586 0.0000 0.0000
-1.5293 2.6488 0.0000
0.0000 0.0000 6.7818
ATOMIC_POSITIONS crystal
Nb 0.3333 0.6667 0.1729
Nb 0.6667 0.3333 0.8271
V 0.0000 0.0000 0.5000
H 0.3333 0.6667 0.6467
H 0.6667 0.3333 0.3533
```